A relaxed structure of SrBeRhO2. Source: the Alexandria database, functional PBE-GGA.

Cell: 3.992 3.992 4.098 Å, 90.00 90.00 90.00°
Space group P4/mmm (No. 123)
Unique sites:
Sr  0.000  0.000  0.000 [1 per cell]
Be  0.500  0.500  0.500 [1 per cell]
Rh  0.500  0.500  0.000 [1 per cell]
O  0.000  0.500  0.500 [2 per cell]

Summary:
Formation energy without anion corrections in eV/atom: -0.63
Electronic total energy in eV/atom: -5.16
Spin magnetization in μB/f.u.: 1.1



A relaxed structure of SrBeRh2O. Source: the Alexandria database, functional PBE-GGA.

Cell: 5.143 5.143 4.329 Å, 90.00 90.00 90.00°
Space group P4/mmm (No. 123)
Unique sites:
Sr  0.000  0.000  0.000 [1 per cell]
Be  0.500  0.500  0.500 [1 per cell]
Rh  0.000  0.500  0.000 [2 per cell]
O  0.000  0.000  0.500 [1 per cell]

Summary:
Formation energy without anion corrections in eV/atom: 1.46
Electronic total energy in eV/atom: -3.55
Spin magnetization in μB/f.u.: 1.9



A relaxed structure of TaBe2RhO. Source: the Alexandria database, functional PBE-GGA.

Cell: 4.014 4.014 4.041 Å, 90.00 90.00 90.00°
Space group P4/mmm (No. 123)
Unique sites:
Ta  0.000  0.000  0.000 [1 per cell]
Be  0.000  0.500  0.500 [2 per cell]
Rh  0.500  0.500  0.500 [1 per cell]
O  0.500  0.500  0.000 [1 per cell]

Summary:
Formation energy without anion corrections in eV/atom: 0.65
Electronic total energy in eV/atom: -5.68
Spin magnetization in μB/f.u.: 0.0